Entry 1:
# Zn2GeH PBE-GGA relaxed
# Excess energy over the best structure of this formula in the dataset (meV/atom): 273
# Total magnetization (μB per formula unit): 0.00
data_Zn2GeH
_chemical_formula_sum 'Zn8 Ge4 H4'
_symmetry_space_group_name_H-M 'F m -3 m'
_symmetry_Int_Tables_number 225
_symmetry_space_group_name_Hall '-F 4 2 3'
_cell_length_a 6.0856
_cell_length_b 6.0856
_cell_length_c 6.0856
_cell_angle_alpha 90.00
_cell_angle_beta 90.00
_cell_angle_gamma 90.00
loop_
_atom_site_label
_atom_site_type_symbol
_atom_site_fract_x
_atom_site_fract_y
_atom_site_fract_z
Zn1 Zn 0.2500 0.2500 0.2500
Ge1 Ge 0.0000 0.0000 0.0000
H1 H 0.0000 0.0000 0.5000

***

Entry 2:
# Tm2Pt4Au PBE-GGA relaxed
# Excess energy over the best structure of this formula in the dataset (meV/atom): 105
# Total magnetization (μB per formula unit): 0.00
# E_form (eV/atom): -0.781
data_Tm2Pt4Au
_chemical_formula_sum 'Tm8 Pt16 Au4'
_symmetry_space_group_name_H-M 'F m m m'
_symmetry_Int_Tables_number 69
_symmetry_space_group_name_Hall '-F 2 2'
_cell_length_a 5.5506
_cell_length_b 8.9709
_cell_length_c 11.1317
_cell_angle_alpha 90.00
_cell_angle_beta 90.00
_cell_angle_gamma 90.00
loop_
_atom_site_label
_atom_site_type_symbol
_atom_site_fract_x
_atom_site_fract_y
_atom_site_fract_z
Tm1 Tm 0.0000 0.0000 0.1447
Pt1 Pt 0.2500 0.2500 0.0000
Pt2 Pt 0.2500 0.2500 0.2500
Au1 Au 0.0000 0.0000 0.5000

***

Entry 3:
# Au2Br3Cl6 PBE-GGA relaxed
# Total magnetization (μB per formula unit): 0.00
# ΔE_f (raw) (meV per atom): -67
data_Au2Br3Cl6
_chemical_formula_sum 'Au4 Br6 Cl12'
_symmetry_space_group_name_H-M 'P -1'
_symmetry_Int_Tables_number 2
_cell_length_a 7.2060
_cell_length_b 7.4764
_cell_length_c 15.5637
_cell_angle_alpha 76.59
_cell_angle_beta 89.19
_cell_angle_gamma 67.57
loop_
_symmetry_equiv_pos_as_xyz
'x,y,z'
'-x,-y,-z'
loop_
_atom_site_label
_atom_site_type_symbol
_atom_site_fract_x
_atom_site_fract_y
_atom_site_fract_z
Au1 Au 0.1511 0.1476 0.0005
Au2 Au 0.1757 0.6541 0.4962
Br1 Br 0.0112 0.3916 0.7531
Br2 Br 0.2850 0.9295 0.2524
Br3 Br 0.3335 0.7144 0.7552
Cl1 Cl 0.0747 0.5848 0.1023
Cl2 Cl 0.0840 0.3764 0.5951
Cl3 Cl 0.1937 0.9559 0.3991
Cl4 Cl 0.2769 0.7842 0.8881
Cl5 Cl 0.3887 0.8988 0.1052
Cl6 Cl 0.4319 0.6289 0.5982

***

Entry 4:
# LiNi2P PBE-GGA relaxed
# Total magnetization (μB per formula unit): 0.00
# E_form (eV/atom): -0.510
data_LiNi2P
_chemical_formula_sum 'Li4 Ni8 P4'
_symmetry_space_group_name_H-M 'C m c m'
_symmetry_Int_Tables_number 63
_symmetry_space_group_name_Hall '-C 2c 2'
_cell_length_a 3.5105
_cell_length_b 8.5976
_cell_length_c 6.4486
_cell_angle_alpha 90.00
_cell_angle_beta 90.00
_cell_angle_gamma 90.00
loop_
_atom_site_label
_atom_site_type_symbol
_atom_site_fract_x
_atom_site_fract_y
_atom_site_fract_z
Li1 Li 0.0000 0.0584 0.2500
Ni1 Ni 0.0000 0.3471 0.0563
P1 P 0.0000 0.2255 0.7500

***

Entry 5:
# Dy2ZrTe PBE-GGA relaxed
# Excess energy over the best structure of this formula in the dataset (meV/atom): 478
# Total magnetization (μB per formula unit): 1.41
# ΔE_f (raw) (meV per atom): -1
data_Dy2ZrTe
_chemical_formula_sum 'Dy6 Zr3 Te3'
_symmetry_space_group_name_H-M 'R -3 m'
_symmetry_Int_Tables_number 166
_symmetry_space_group_name_Hall '-R 3 2"'
_cell_length_a 3.6896
_cell_length_b 3.6896
_cell_length_c 31.0551
_cell_angle_alpha 90.00
_cell_angle_beta 90.00
_cell_angle_gamma 120.00
loop_
_atom_site_label
_atom_site_type_symbol
_atom_site_fract_x
_atom_site_fract_y
_atom_site_fract_z
Dy1 Dy 0.0000 0.0000 0.0979
Zr1 Zr 0.0000 0.0000 0.0000
Te1 Te 0.0000 0.0000 0.5000

***

Entry 6:
# Ce2ThGe2Ir2 PBE-GGA relaxed
# Total magnetization (μB per formula unit): 0.00
# E_form (eV/atom): -0.762
data_Ce2ThGe2Ir2
_chemical_formula_sum 'Ce6 Th3 Ge6 Ir6'
_symmetry_space_group_name_H-M 'R -3 m'
_symmetry_Int_Tables_number 166
_symmetry_space_group_name_Hall '-R 3 2"'
_cell_length_a 4.4184
_cell_length_b 4.4184
_cell_length_c 26.2048
_cell_angle_alpha 90.00
_cell_angle_beta 90.00
_cell_angle_gamma 120.00
loop_
_atom_site_label
_atom_site_type_symbol
_atom_site_fract_x
_atom_site_fract_y
_atom_site_fract_z
Ce1 Ce 0.0000 0.0000 0.1388
Th1 Th 0.0000 0.0000 0.0000
Ge1 Ge 0.0000 0.0000 0.2633
Ir1 Ir 0.0000 0.0000 0.4204

***

> Which formula does entry 6 have?

Ce2ThGe2Ir2

***

Please write out number 1 again, unchanged.
# Zn2GeH PBE-GGA relaxed
# Excess energy over the best structure of this formula in the dataset (meV/atom): 273
# Total magnetization (μB per formula unit): 0.00
data_Zn2GeH
_chemical_formula_sum 'Zn8 Ge4 H4'
_symmetry_space_group_name_H-M 'F m -3 m'
_symmetry_Int_Tables_number 225
_symmetry_space_group_name_Hall '-F 4 2 3'
_cell_length_a 6.0856
_cell_length_b 6.0856
_cell_length_c 6.0856
_cell_angle_alpha 90.00
_cell_angle_beta 90.00
_cell_angle_gamma 90.00
loop_
_atom_site_label
_atom_site_type_symbol
_atom_site_fract_x
_atom_site_fract_y
_atom_site_fract_z
Zn1 Zn 0.2500 0.2500 0.2500
Ge1 Ge 0.0000 0.0000 0.0000
H1 H 0.0000 0.0000 0.5000

***

> Which value of total magnetization does entry 2 give?

0.00 μB per formula unit